1.
Material: BaNbAlRh2
Method: DFT, PBE
State: relaxed

Structure (POSCAR):
```
BaNbAlRh2
1.0
4.807 0.000 0.000
0.000 4.807 0.000
0.000 0.000 5.869
Ba Nb Al Rh
1 1 1 2
direct
0.000 0.000 0.000
0.000 0.000 0.500
0.500 0.500 0.000
0.000 0.500 0.500
0.500 0.000 0.500
```

Calculated total energy ... -25.9 eV per cell
Calculated formation energy ... 436 kJ/mol of formula units



2.
Material: Ac2Al2Zn15
Method: DFT, PBE
State: relaxed

Structure (POSCAR):
```
Ac2Al2Zn15
1.0
4.649 2.684 4.484
-4.649 2.684 4.484
0.000 -5.368 4.484
Ac Al Zn
2 2 15
direct
0.162 0.162 0.162
0.838 0.838 0.838
0.402 0.402 0.402
0.598 0.598 0.598
0.000 0.500 0.500
0.153 0.153 0.660
0.153 0.660 0.153
0.210 0.500 0.790
0.210 0.790 0.500
0.340 0.847 0.847
0.500 0.000 0.500
0.500 0.210 0.790
0.500 0.500 0.000
0.500 0.790 0.210
0.660 0.153 0.153
0.790 0.210 0.500
0.790 0.500 0.210
0.847 0.340 0.847
0.847 0.847 0.340
```

Calculated total energy ... -39.0 eV per cell
Calculated formation energy ... -409 kJ/mol of formula units



3.
Material: Ba4Zn2Au
Method: DFT, PBE
State: relaxed

Structure (POSCAR):
```
Ba4Zn2Au
1.0
-3.213 3.213 7.997
3.213 -3.213 7.997
3.213 3.213 -7.997
Ba Zn Au
4 2 1
direct
0.000 0.500 0.500
0.207 0.207 0.000
0.500 0.000 0.500
0.793 0.793 0.000
0.417 0.417 0.000
0.583 0.583 0.000
0.000 0.000 0.000
```

Polymorph energy (0 for the lowest one) ... 80 meV per atom
Calculated total energy ... -14.8 eV per cell
Calculated formation energy ... -120 kJ/mol of formula units



4.
Material: Pm3PrCo
Method: DFT, PBE
State: relaxed

Structure (POSCAR):
```
Pm3PrCo
1.0
5.443 0.000 0.000
0.000 5.443 0.000
0.000 0.000 5.443
Pm Pr Co
3 1 1
direct
0.000 0.000 0.500
0.000 0.500 0.000
0.500 0.000 0.000
0.500 0.500 0.500
0.000 0.000 0.000
```

Polymorph energy (0 for the lowest one) ... 115 meV per atom
Calculated total energy ... -25.8 eV per cell
Calculated formation energy ... 28 kJ/mol of formula units



5.
Material: Ag2OsSe
Method: DFT, PBE
State: relaxed

Structure (POSCAR):
```
Ag2OsSe
1.0
1.461 -2.490 0.000
1.461 2.490 0.000
0.000 0.000 10.065
Ag Os Se
2 1 1
direct
0.000 0.000 0.000
0.500 0.500 0.246
0.500 0.500 0.757
0.000 0.000 0.561
```

Calculated total energy ... -18.3 eV per cell
Formation energy from raw total energies ... 0.52 eV/atom



6.
Material: IrC3
Method: DFT, PBE
State: relaxed

Structure (POSCAR):
```
IrC3
1.0
13.808 0.000 0.000
0.000 2.618 0.000
0.000 0.000 4.342
Ir C
4 12
direct
0.164 0.250 0.014
0.336 0.750 0.514
0.664 0.250 0.486
0.836 0.750 0.986
0.023 0.750 0.476
0.127 0.750 0.382
0.195 0.750 0.640
0.305 0.250 0.140
0.373 0.250 0.882
0.477 0.250 0.976
0.523 0.750 0.024
0.627 0.750 0.118
0.695 0.750 0.860
0.805 0.250 0.360
0.873 0.250 0.618
0.977 0.250 0.524
```

Polymorph energy (0 for the lowest one) ... 25 meV per atom
Calculated total energy ... -134.3 eV per cell
Calculated formation energy ... 286 kJ/mol of formula units